No. 1
LaMgNi2 (PBE, relaxed); total magnetic moment = 0.0000 μB/atom; ΔH_f (0 K) = 0.13 eV/atom; space group = I-42d (122)
1.0
-0.7265 -2.2119 -3.9921
3.3211 -3.0290 1.0739
-4.3689 -7.5075 2.2797
Ni Mg La
4 2 2
Direct
0.4275 0.1250 0.2500
0.3225 0.6250 0.2500
0.3750 0.5725 0.7500
0.8750 0.6775 0.7500
0.5000 0.5000 0.0000
0.2500 0.7500 0.5000
0.0000 0.0000 0.0000
0.7500 0.2500 0.5000



No. 2
La3Mg4Ni4 (PBE, relaxed); total magnetic moment = 0.0000 μB/atom; ΔH_f (0 K) = -0.24 eV/atom; space group = Immm (71)
1.0
3.7618 0.0000 -0.9357
-0.9854 7.0146 -3.9616
0.1611 0.2278 8.6769
La Mg Ni
3 4 4
Direct
0.1133 0.1133 0.2267
0.8867 0.8867 0.7733
0.0000 0.5000 0.0000
0.3236 0.1375 0.6472
0.6764 0.4904 0.3528
0.6764 0.8625 0.3528
0.3236 0.5096 0.6472
0.2429 0.7429 0.4858
0.7571 0.2571 0.5142
0.5000 0.7860 0.0000
0.5000 0.2140 0.0000



No. 3
La2Mg3Ni2 (PBE, relaxed); total magnetic moment = 0.0000 μB/atom; ΔH_f (0 K) = -0.22 eV/atom; space group = C2/m (12)
1.0
4.0156 0.0000 0.0000
-2.0078 5.2951 0.1467
0.0000 -1.0200 7.5459
La Mg Ni
2 3 2
Direct
0.6250 0.2500 0.3592
0.3750 0.7500 0.6408
0.3223 0.6446 0.1407
0.0000 0.0000 0.0000
0.6777 0.3554 0.8593
0.0792 0.1584 0.6398
0.9208 0.8416 0.3602



No. 4
LaMg12Ni5 (PBE, relaxed); total magnetic moment = 0.0000 μB/atom; ΔH_f (0 K) = -0.07 eV/atom; space group = Immm (71)
1.0
-3.5133 1.7407 6.6721
1.6012 -7.4595 -1.2969
7.1531 2.9244 -0.4139
La Mg Ni
1 12 5
Direct
0.0000 0.5000 0.5000
0.5566 0.8223 0.7343
0.4434 0.1777 0.2657
0.9120 0.1777 0.7343
0.0880 0.8223 0.2657
0.6883 0.6840 0.3722
0.3117 0.3160 0.6278
0.3117 0.6840 0.9957
0.6883 0.3160 0.0043
0.8088 0.5867 0.7779
0.1912 0.4133 0.2221
0.1912 0.9690 0.7779
0.8088 0.0310 0.2221
0.6484 0.6484 0.0000
0.3516 0.3516 0.0000
0.5000 0.1168 0.6168
0.5000 0.8832 0.3832
0.0000 0.0000 0.0000



No. 5
La4MgNi (PBE, relaxed); total magnetic moment = 0.0000 μB/atom; relative energy among the computed polymorphs = 8.9 kJ/mol of atoms; ΔH_f (0 K) = -0.08 eV/atom; space group = C2/c (15)
1.0
8.8640 -0.3699 0.0000
-1.7313 6.0199 0.0000
-3.5663 -2.8250 7.0137
La Mg Ni
8 2 2
Direct
0.9288 0.3534 0.1267
0.6979 0.7734 0.1267
0.3352 0.6950 0.6574
0.6648 0.3050 0.3426
0.1778 0.0376 0.3426
0.3021 0.2266 0.8733
0.8222 0.9624 0.6574
0.0712 0.6466 0.8733
0.3869 0.6369 0.2739
0.6131 0.3631 0.7261
0.9978 0.7478 0.4955
0.0022 0.2522 0.5045



No. 6
LaMgNi3 (PBE, relaxed); total magnetic moment = 0.0000 μB/atom; relative energy among the computed polymorphs = 60.3 kJ/mol of atoms; ΔH_f (0 K) = 0.95 eV/atom; space group = Pm-3m (221)
1.0
4.7908 0.0000 0.0000
0.0000 4.7908 0.0000
0.0000 0.0000 4.7908
Ni Mg La
3 1 1
Direct
0.0000 0.5000 0.0000
0.0000 0.0000 0.5000
0.5000 0.0000 0.0000
0.5000 0.5000 0.5000
0.0000 0.0000 0.0000



No. 7
LaMgNi2 (PBE, relaxed); total magnetic moment = 0.0000 μB/atom; ΔH_f (0 K) = -0.25 eV/atom; space group = Pm (6)
1.0
3.8258 0.0000 -0.0261
0.0000 4.0187 0.0000
-1.8794 0.0000 5.0358
La Mg Ni
1 1 2
Direct
0.4321 0.5000 0.4043
0.7195 0.0000 0.9784
0.1597 0.5000 0.8569
0.0197 0.0000 0.5784



No. 8
La2MgNi (PBE, relaxed); total magnetic moment = 0.0000 μB/atom; ΔH_f (0 K) = -0.06 eV/atom; space group = Immm (71)
1.0
-0.4781 -2.2609 -5.4295
4.9148 -3.0339 -1.2081
-4.4292 0.0683 3.8983
La Mg Ni
2 1 1
Direct
0.0489 0.0489 0.0000
0.4511 0.4511 0.0000
0.7500 0.2500 0.5000
0.2500 0.7500 0.5000



No. 9
La4MgNi2 (PBE, relaxed); total magnetic moment = 0.0000 μB/atom; ΔH_f (0 K) = -0.18 eV/atom; space group = P1 (1)
1.0
-6.4718 2.6288 -0.7555
-1.0966 -6.8408 1.2243
3.4417 3.5799 7.6648
La Mg Ni
8 2 4
Direct
0.9747 0.1961 0.3223
0.3830 0.4738 0.1785
0.8206 0.5991 0.5936
0.7484 0.1956 0.7864
0.4548 0.0459 0.3236
0.2113 0.1608 0.7133
0.4795 0.7555 0.9080
0.9032 0.6227 0.1763
0.3333 0.7108 0.5216
0.0669 0.9408 0.9793
0.4299 0.3844 0.5756
0.7680 0.9009 0.4432
0.5715 0.2059 0.0539
0.1050 0.5579 0.9245



No. 10
LaMg3Ni (PBE, relaxed); total magnetic moment = 0.0000 μB/atom; relative energy among the computed polymorphs = 0.0 kJ/mol of atoms; ΔH_f (0 K) = -0.17 eV/atom; space group = P2_1/m (11)
1.0
5.0987 0.0000 -2.1285
-0.0001 5.9517 -0.0001
-0.1043 -0.0001 7.5758
La Mg Ni
2 6 2
Direct
0.7158 0.9476 0.8876
0.3185 0.4476 0.6729
0.8638 0.4476 0.1651
0.1705 0.9476 0.3955
0.7369 0.1944 0.4843
0.7369 0.7008 0.4843
0.2974 0.6945 0.0762
0.2974 0.2008 0.0763
0.8771 0.4476 0.8079
0.1572 0.9476 0.7527



No. 11
La2MgNi (PBE, relaxed); total magnetic moment = 0.0000 μB/atom; ΔH_f (0 K) = -0.17 eV/atom; space group = P4/mmm (123)
1.0
-2.9377 -1.8539 1.0625
-0.6963 -0.8833 -3.4541
4.5132 -6.6923 0.8016
La Mg Ni
2 1 1
Direct
0.0000 0.0000 0.9538
0.0000 0.0000 0.5462
0.5000 0.5000 0.2500
0.5000 0.5000 0.7500